[1]
The following is a DFT calculation (PBE) of an optimized crystal structure of Pr5NdEr12.

Values from the calculation:
* SG: No. 12
* calculated volume: 587.1 Å³/cell
* energy of formation from the pure elements: 0.10 eV/atom
* DFT total energy: -4.539 eV per atom

Cell lengths 11.452, 10.368, 5.932 Å; angles 90.00, 89.99, 56.48 degrees
Fractional positions:
Er 0.845 0.667 0.552
Er 0.155 0.333 0.448
Er 0.679 0.000 0.947
Er 0.655 0.333 0.051
Er 0.011 0.333 0.948
Er 0.321 0.000 0.053
Er 0.178 0.000 0.553
Er 0.989 0.667 0.052
Er 0.345 0.667 0.949
Er 0.822 0.000 0.447
Er 0.512 0.333 0.552
Er 0.488 0.667 0.448
Pr 0.500 0.000 0.500
Pr 0.666 0.668 0.000
Pr 0.334 0.332 0.000
Pr 0.166 0.667 0.500
Pr 0.834 0.333 0.500
Nd 0.000 0.000 0.000


[2]
The following is a DFT calculation (PBE) of an optimized crystal structure of Pr3Nd4Er5.

Values from the calculation:
* SG: No. 2
* calculated volume: 401.1 Å³/cell
* energy of formation from the pure elements: 0.02 eV/atom
* DFT total energy: -4.668 eV per atom
* offset from the most stable computed form: 0 meV/atom

Cell lengths 7.229, 11.437, 13.038 Å; angles 151.29, 56.36, 129.23 degrees
Fractional positions:
Er 0.249 0.499 0.999
Er 0.329 0.665 0.835
Er 0.751 0.501 0.001
Er 0.500 0.000 0.500
Er 0.671 0.335 0.165
Nd 0.171 0.340 0.169
Nd 0.083 0.162 0.330
Nd 0.917 0.838 0.670
Nd 0.829 0.660 0.831
Pr 0.419 0.837 0.669
Pr 0.000 0.000 0.500
Pr 0.581 0.163 0.331


[3]
The following is a DFT calculation (PBE) of an optimized crystal structure of Pr7Nd3Er2.

Values from the calculation:
* SG: No. 10
* calculated volume: 424.1 Å³/cell
* energy of formation from the pure elements: 0.09 eV/atom
* DFT total energy: -4.651 eV per atom
* offset from the most stable computed form: 11 meV/atom

Cell lengths 3.645, 6.004, 19.986 Å; angles 104.18, 90.00, 90.00 degrees
Fractional positions:
Pr 0.500 0.278 0.535
Pr 0.500 0.000 0.183
Pr 0.500 0.722 0.465
Pr 0.000 0.466 0.147
Pr 0.500 0.000 0.817
Pr 0.000 0.534 0.853
Pr 0.000 0.000 0.000
Er 0.500 0.588 0.296
Er 0.500 0.412 0.704
Nd 0.000 0.851 0.634
Nd 0.500 0.500 0.000
Nd 0.000 0.149 0.366


[4]
The following is a DFT calculation (PBE) of an optimized crystal structure of Pr2NdEr.

Values from the calculation:
* SG: No. 160
* calculated volume: 138.2 Å³/cell
* energy of formation from the pure elements: 0.02 eV/atom
* DFT total energy: -4.701 eV per atom
* offset from the most stable computed form: 7 meV/atom

Cell lengths 3.663, 3.663, 12.082 Å; angles 81.28, 81.28, 60.00 degrees
Fractional positions:
Pr 0.252 0.252 0.244
Pr 0.082 0.082 0.755
Nd 0.500 0.500 0.501
Er 0.667 0.667 0.999


[5]
The following is a DFT calculation (PBE) of an optimized crystal structure of PrNdEr2.

Values from the calculation:
* SG: No. 166
* calculated volume: 131.3 Å³/cell
* energy of formation from the pure elements: 0.01 eV/atom
* DFT total energy: -4.653 eV per atom
* offset from the most stable computed form: 0 meV/atom

Cell lengths 3.610, 3.610, 11.824 Å; angles 81.22, 81.22, 60.00 degrees
Fractional positions:
Er 0.750 0.750 0.751
Er 0.250 0.250 0.249
Nd 0.000 0.000 0.000
Pr 0.500 0.500 0.500


[6]
The following is a DFT calculation (PBE) of an optimized crystal structure of Pr5Nd2Er12.

Values from the calculation:
* SG: No. 12
* calculated volume: 630.0 Å³/cell
* energy of formation from the pure elements: 0.18 eV/atom
* DFT total energy: -4.466 eV per atom
* offset from the most stable computed form: 109 meV/atom

Cell lengths 7.094, 9.852, 10.364 Å; angles 70.27, 90.00, 111.10 degrees
Fractional positions:
Pr 0.682 0.364 0.787
Pr 0.189 0.378 0.816
Pr 0.811 0.622 0.184
Pr 0.318 0.636 0.213
Pr 0.000 0.000 0.500
Er 0.911 0.316 0.133
Er 0.909 0.324 0.481
Er 0.415 0.324 0.481
Er 0.585 0.676 0.519
Er 0.595 0.684 0.867
Er 0.975 0.951 0.244
Er 0.504 0.007 0.328
Er 0.025 0.049 0.756
Er 0.089 0.684 0.867
Er 0.405 0.316 0.133
Er 0.091 0.676 0.519
Er 0.496 0.993 0.672
Nd 0.279 0.000 0.000
Nd 0.721 0.000 0.000


[7]
The following is a DFT calculation (PBE) of an optimized crystal structure of Pr6NdEr3.

Values from the calculation:
* SG: No. 36
* calculated volume: 689.8 Å³/cell
* energy of formation from the pure elements: 0.14 eV/atom
* DFT total energy: -4.574 eV per atom
* offset from the most stable computed form: 14 meV/atom

Cell lengths 6.428, 11.170, 11.170 Å; angles 120.68, 90.00, 90.00 degrees
Fractional positions:
Er 0.463 0.290 0.058
Er 0.963 0.058 0.290
Er 0.463 0.942 0.710
Er 0.091 0.384 0.616
Er 0.591 0.616 0.384
Er 0.963 0.710 0.942
Nd 0.108 0.193 0.807
Nd 0.608 0.807 0.193
Pr 0.371 0.059 0.476
Pr 0.871 0.476 0.059
Pr 0.152 0.718 0.282
Pr 0.871 0.941 0.524
Pr 0.050 0.709 0.630
Pr 0.868 0.035 0.965
Pr 0.368 0.965 0.035
Pr 0.371 0.524 0.941
Pr 0.050 0.370 0.291
Pr 0.550 0.630 0.709
Pr 0.550 0.291 0.370
Pr 0.652 0.282 0.718


[8]
The following is a DFT calculation (PBE) of an optimized crystal structure of Pr7NdEr2.

Values from the calculation:
* SG: No. 2
* calculated volume: 349.2 Å³/cell
* energy of formation from the pure elements: 0.02 eV/atom
* DFT total energy: -4.718 eV per atom
* offset from the most stable computed form: 0 meV/atom

Cell lengths 6.370, 9.709, 6.332 Å; angles 108.85, 80.38, 77.27 degrees
Fractional positions:
Pr 0.500 0.500 0.000
Pr 0.700 0.102 0.598
Pr 0.096 0.303 0.800
Pr 0.396 0.204 0.203
Pr 0.604 0.796 0.797
Pr 0.904 0.697 0.200
Pr 0.300 0.898 0.402
Er 0.202 0.597 0.598
Er 0.798 0.403 0.402
Nd 0.000 0.000 0.000